# 1
TaFePbW | PBE-GGA | optimized geometry

```
TaFePbW
1.0
0.000 3.246 3.246
3.246 0.000 3.246
3.246 3.246 0.000
Pb Ta Fe W
1 1 1 1
direct
0.000 0.000 0.000 Pb
0.500 0.500 0.500 Ta
0.750 0.750 0.750 Fe
0.250 0.250 0.250 W
```

Calculated values
As for the final energy: -8.58 eV/atom. The excess energy over the best structure of this formula in the dataset is 0 meV/atom. As for the symmetry: F-43m (216).

=====

# 2
YTaFePb | PBE-GGA | optimized geometry

```
YTaFePb
1.0
-0.189 -1.445 4.590
-2.985 2.178 3.089
-3.889 -2.324 1.635
Fe Y Ta Pb
1 1 1 1
direct
0.750 0.750 0.750 Fe
0.250 0.250 0.250 Y
0.500 0.500 0.500 Ta
0.000 0.000 0.000 Pb
```

Calculated values
As for the final energy: -6.97 eV/atom. The excess energy over the best structure of this formula in the dataset is 0 meV/atom. As for the symmetry: F-43m (216).

=====

# 3
ZrTaFePb | PBE-GGA | optimized geometry

```
ZrTaFePb
1.0
3.788 0.779 2.684
1.669 4.373 0.504
-0.453 2.232 4.120
Pb Ta Zr Fe
1 1 1 1
direct
0.000 0.000 0.000 Pb
0.500 0.500 0.500 Ta
0.250 0.250 0.250 Zr
0.750 0.750 0.750 Fe
```

Calculated values
As for the final energy: -7.62 eV/atom. The excess energy over the best structure of this formula in the dataset is 0 meV/atom. As for the symmetry: F-43m (216).

=====

# 4
TbFe2Pb2 | PBE-GGA | optimized geometry

```
TbFe2Pb2
1.0
1.267 -3.719 4.637
-4.802 -2.653 2.616
2.017 0.698 -5.690
Fe Pb Tb
2 2 1
direct
0.399 0.399 0.000 Fe
0.601 0.601 0.000 Fe
0.250 0.750 0.500 Pb
0.750 0.250 0.500 Pb
0.000 0.000 0.000 Tb
```

Calculated values
As for the final energy: -5.52 eV/atom. The excess energy over the best structure of this formula in the dataset is 0 meV/atom. As for the symmetry: I4/mmm (139).

=====

# 5
TbTmFe2Pb | PBE-GGA | optimized geometry

```
TbTmFe2Pb
1.0
-1.747 -3.294 0.735
5.431 -1.846 4.639
2.809 0.032 6.821
Tm Fe Pb Tb
1 2 1 1
direct
0.500 0.361 0.361 Tm
0.000 0.207 0.207 Fe
0.000 0.795 0.795 Fe
0.000 0.999 0.999 Pb
0.500 0.638 0.638 Tb
```

Calculated values
As for the final energy: -6.09 eV/atom. As for the symmetry: Amm2 (38).

=====

# 6
TbYFe2Pb | PBE-GGA | optimized geometry

```
TbYFe2Pb
1.0
3.852 0.000 0.000
0.000 1.945 7.146
0.000 -1.945 7.146
Fe Pb Tb Y
2 1 1 1
direct
0.000 0.793 0.793 Fe
0.000 0.206 0.206 Fe
0.000 0.000 0.000 Pb
0.500 0.638 0.638 Tb
0.500 0.363 0.363 Y
```

Calculated values
As for the final energy: -6.48 eV/atom. As for the symmetry: Amm2 (38).